Y4TlBi | PBE-GGA | optimized geometry

Cell lengths 9.062, 14.003, 6.400 Å; angles 90.00, 115.91, 90.00 degrees
Space group C2/c (No. 15)
One atom of each set of equivalent atoms:
Y: 0.107 0.190 0.070 [8 per cell]
Y: 0.202 0.415 0.321 [8 per cell]
Tl: 0.000 0.001 0.750 [4 per cell]
Bi: 0.000 0.383 0.750 [4 per cell]

Values from the calculation:
Final energy: -137.31 eV for the cell shown
Formation energy: -371 meV per atom